Entry from Alexandria: an optimized crystal structure of LaBe3Ge3 (PBE).

Cell: 6.307 6.307 6.307 Å, 90.00 90.00 90.00°
Element x y z (fractional)
La1 0.000 0.000 0.000
La2 0.500 0.500 0.500
Be1 0.000 0.250 0.500
Be2 0.000 0.750 0.500
Be3 0.250 0.500 0.000
Be4 0.500 0.000 0.250
Be5 0.500 0.000 0.750
Be6 0.750 0.500 0.000
Ge1 0.000 0.500 0.250
Ge2 0.000 0.500 0.750
Ge3 0.250 0.000 0.500
Ge4 0.500 0.250 0.000
Ge5 0.500 0.750 0.000
Ge6 0.750 0.000 0.500

As for the total DFT energy (no corrections): -0.1584 Ha/atom. As for the calculated formation energy: -0.0293 eV per atom.

Entry from Alexandria: an optimized crystal structure of La2Be2Ge (PBE).

Cell: 6.732 6.732 4.607 Å, 90.00 90.00 90.00°
Element x y z (fractional)
La1 0.177 0.323 0.000
La2 0.323 0.823 0.000
La3 0.677 0.177 0.000
La4 0.823 0.677 0.000
Be1 0.117 0.617 0.500
Be2 0.383 0.117 0.500
Be3 0.617 0.883 0.500
Be4 0.883 0.383 0.500
Ge1 0.000 0.000 0.500
Ge2 0.500 0.500 0.500

As for the total DFT energy (no corrections): -0.1663 Ha/atom. As for the calculated formation energy: -0.1395 eV per atom.

Entry from Alexandria: an optimized crystal structure of LiLaBeGe2 (PBE).

Cell: 5.907 5.907 5.907 Å, 138.19 138.19 60.62°
Element x y z (fractional)
Li1 0.000 0.000 0.000
La1 0.750 0.250 0.500
Be1 0.500 0.500 0.000
Ge1 0.125 0.625 0.500
Ge2 0.375 0.875 0.500

As for the total DFT energy (no corrections): -0.1638 Ha/atom. As for the calculated formation energy: -0.4967 eV per atom.

Entry from Alexandria: an optimized crystal structure of LaBe2GeN (PBE).

Cell: 5.847 5.847 6.693 Å, 90.00 90.00 141.11°
Element x y z (fractional)
La1 0.063 0.937 0.750
La2 0.937 0.063 0.250
Be1 0.362 0.638 0.576
Be2 0.362 0.638 0.924
Be3 0.638 0.362 0.076
Be4 0.638 0.362 0.424
Ge1 0.218 0.782 0.250
Ge2 0.782 0.218 0.750
N1 0.500 0.500 0.000
N2 0.500 0.500 0.500

As for the total DFT energy (no corrections): -0.2137 Ha/atom. The raw formation energy is -749 meV/atom.